No. 1
! TiMoHOs2 (PBE-GGA, optimized geometry); values from VASP
! DFT total energy in eV per atom: -8.95
&SYSTEM
  ibrav = 0, nat = 5, ntyp = 4
/
ATOMIC_SPECIES
H 1.01 H.upf
Os 190.23 Os.upf
Mo 95.94 Mo.upf
Ti 47.87 Ti.upf
CELL_PARAMETERS angstrom
3.955 0.000 0.000
0.000 3.955 0.000
0.000 0.000 3.970
ATOMIC_POSITIONS crystal
H 0.000 0.000 0.000
Os 0.000 0.500 0.000
Os 0.500 0.000 0.000
Mo 0.500 0.500 0.500
Ti 0.000 0.000 0.500

No. 2
! LaInCl4 (PBE-GGA, optimized geometry); values from VASP
! Energy above the lowest structure with this stoichiometry in meV/atom: 0
! DFT total energy in eV per atom: -4.36
! Raw formation energy in kJ per mole of atoms: -179.0
&SYSTEM
  ibrav = 0, nat = 12, ntyp = 3
/
ATOMIC_SPECIES
Cl 35.45 Cl.upf
In 114.82 In.upf
La 138.91 La.upf
CELL_PARAMETERS angstrom
6.503 0.004 -2.346
-0.714 6.590 -1.966
-0.433 -0.998 8.983
ATOMIC_POSITIONS crystal
Cl 0.141 0.141 0.283
Cl 0.858 0.359 0.717
Cl 0.358 0.358 0.717
Cl 0.642 0.642 0.283
Cl 0.641 0.142 0.283
Cl 0.142 0.641 0.283
Cl 0.859 0.859 0.717
Cl 0.359 0.858 0.717
In 0.750 0.750 0.000
In 0.250 0.250 0.000
La 0.000 0.500 0.500
La 0.500 0.000 0.500

No. 3
! Mn2BeH (PBE-GGA, optimized geometry); values from VASP
! Energy above the lowest structure with this stoichiometry in meV/atom: 0
! DFT total energy in eV per atom: -6.12
&SYSTEM
  ibrav = 0, nat = 4, ntyp = 3
/
ATOMIC_SPECIES
Be 9.01 Be.upf
Mn 54.94 Mn.upf
H 1.01 H.upf
CELL_PARAMETERS angstrom
-2.347 -0.311 -0.727
-0.281 -1.800 1.679
-1.643 3.720 3.713
ATOMIC_POSITIONS crystal
Be 0.500 0.500 0.500
Mn 0.000 0.000 0.212
Mn 0.000 0.000 0.788
H 0.500 0.500 0.000

Number 1: mass density 14.04 Mg/m³, total moment 0.00 μB per formula unit. Number 2: mass density 3.61 Mg/m³, total moment 0.00 μB per formula unit. Number 3: mass density 5.89 Mg/m³, total moment 3.55 μB per formula unit.